# 1
First-principles (PBE-GGA) data for MgAg4 after structural relaxation, as listed in the Alexandria database.

abc: 3.097 3.097 18.847
angles: 90.00 90.00 90.00
Space group I4/mmm (No. 139)
Unique sites:
Mg 0.000 0.000 0.000 (multiplicity 2)
Ag 0.000 0.000 0.200 (multiplicity 4)
Ag 0.000 0.000 0.401 (multiplicity 4)

Computed properties:
For the calculated density, the calculation gives 8.4 g/cm³. The value obtained for the total energy is -2.667 eV per atom. The calculated formation energy comes out at -0.067 eV per atom.

# 2
First-principles (PBE-GGA) data for TaNiSeN2 after structural relaxation, as listed in the Alexandria database.

abc: 3.785 3.785 4.464
angles: 90.00 90.00 90.00
Space group P4/mmm (No. 123)
Unique sites:
Ta 0.000 0.000 0.000 (multiplicity 1)
Ni 0.500 0.500 0.500 (multiplicity 1)
Se 0.500 0.500 0.000 (multiplicity 1)
N 0.000 0.500 0.500 (multiplicity 2)

Computed properties:
Its polymorph energy (0 for the lowest one) is 704 meV/atom. For the calculated density, the calculation gives 9.0 g/cm³. The value obtained for the total energy is -6.386 eV per atom. The uncorrected formation energy is 5.8 eV per formula unit.

# 3
First-principles (PBE-GGA) data for TlCd2I2 after structural relaxation, as listed in the Alexandria database.

abc: 9.810 9.810 4.126
angles: 90.00 90.00 90.00
Space group P4/mbm (No. 127)
Unique sites:
Tl 0.000 0.000 0.000 (multiplicity 2)
Cd 0.099 0.401 0.500 (multiplicity 4)
I 0.244 0.744 0.000 (multiplicity 4)

Computed properties:
Its polymorph energy (0 for the lowest one) is 87 meV/atom. For the calculated density, the calculation gives 5.7 g/cm³. The value obtained for the total energy is -1.625 eV per atom. The uncorrected formation energy is -0.8 eV per formula unit.

# 4
First-principles (PBE-GGA) data for Dy3Y2Ho after structural relaxation, as listed in the Alexandria database.

abc: 14.893 9.926 5.587
angles: 90.00 90.00 90.00
Space group Cmc2_1 (No. 36)
Unique sites:
Dy 0.000 0.088 0.000 (multiplicity 4)
Dy 0.241 0.129 0.002 (multiplicity 8)
Y 0.108 0.399 0.001 (multiplicity 8)
Ho 0.000 0.269 0.500 (multiplicity 4)

Computed properties:
Its polymorph energy (0 for the lowest one) is 345 meV/atom. For the calculated density, the calculation gives 6.7 g/cm³. The value obtained for the total energy is -4.872 eV per atom. The calculated formation energy comes out at 0.346 eV per atom.

# 5
First-principles (PBE-GGA) data for ZrPb3 after structural relaxation, as listed in the Alexandria database.

abc: 7.675 7.675 7.675
angles: 90.00 90.00 90.00
Space group Fm-3m (No. 225)
Unique sites:
Zr 0.000 0.000 0.000 (multiplicity 4)
Pb 0.000 0.000 0.500 (multiplicity 4)
Pb 0.250 0.250 0.250 (multiplicity 8)

Computed properties:
For the calculated density, the calculation gives 10.5 g/cm³. The value obtained for the total energy is -4.662 eV per atom. The calculated formation energy comes out at 0.256 eV per atom.

# 6
First-principles (PBE-GGA) data for Ac2Al2Au after structural relaxation, as listed in the Alexandria database.

abc: 11.359 4.851 11.530
angles: 90.00 118.35 90.00
Space group C2/m (No. 12)
Unique sites:
Ac 0.084 0.000 0.390 (multiplicity 4)
Ac 0.185 0.500 0.173 (multiplicity 4)
Al 0.088 0.000 0.946 (multiplicity 4)
Al 0.119 0.500 0.612 (multiplicity 4)
Au 0.118 0.500 0.850 (multiplicity 4)

Computed properties:
Its polymorph energy (0 for the lowest one) is 0 meV/atom. For the calculated density, the calculation gives 8.4 g/cm³. The value obtained for the total energy is -4.300 eV per atom. The calculated formation energy comes out at -0.504 eV per atom.

# 7
First-principles (PBE-GGA) data for TlIn2Re after structural relaxation, as listed in the Alexandria database.

abc: 3.404 4.980 10.765
angles: 90.00 90.00 90.00
Space group Cmmm (No. 65)
Unique sites:
Tl 0.000 0.000 0.000 (multiplicity 2)
In 0.000 0.500 0.288 (multiplicity 4)
Re 0.000 0.000 0.500 (multiplicity 2)

Computed properties:
Its polymorph energy (0 for the lowest one) is 118 meV/atom. For the calculated density, the calculation gives 11.3 g/cm³. The value obtained for the total energy is -4.501 eV per atom. The calculated formation energy comes out at 0.571 eV per atom.

# 8
First-principles (PBE-GGA) data for Sr2TmCdHg6 after structural relaxation, as listed in the Alexandria database.

abc: 11.165 11.165 11.165
angles: 90.00 90.00 90.00
Space group Fm-3m (No. 225)
Unique sites:
Sr 0.250 0.250 0.250 (multiplicity 8)
Tm 0.000 0.000 0.000 (multiplicity 4)
Cd 0.000 0.000 0.500 (multiplicity 4)
Hg 0.000 0.000 0.253 (multiplicity 24)

Computed properties:
For the calculated density, the calculation gives 7.9 g/cm³. The value obtained for the total energy is -1.181 eV per atom. The calculated formation energy comes out at -0.125 eV per atom.

# 9
First-principles (PBE-GGA) data for Ce2YSi3Pt4 after structural relaxation, as listed in the Alexandria database.

abc: 4.216 4.216 11.058
angles: 90.00 90.00 90.00
Space group P-4m2 (No. 115)
Unique sites:
Ce 0.000 0.500 0.227 (multiplicity 2)
Y 0.000 0.000 0.500 (multiplicity 1)
Si 0.000 0.500 0.881 (multiplicity 2)
Si 0.500 0.500 0.500 (multiplicity 1)
Pt 0.000 0.000 0.000 (multiplicity 1)
Pt 0.000 0.500 0.664 (multiplicity 2)
Pt 0.500 0.500 0.000 (multiplicity 1)

Computed properties:
For the calculated density, the calculation gives 10.4 g/cm³. The value obtained for the total energy is -6.897 eV per atom. The uncorrected formation energy is -10.2 eV per formula unit.

# 10
First-principles (PBE-GGA) data for Y2Cd2Sn after structural relaxation, as listed in the Alexandria database.

abc: 8.349 8.349 4.050
angles: 90.00 90.00 90.00
Space group P4/mbm (No. 127)
Unique sites:
Y 0.162 0.338 0.000 (multiplicity 4)
Cd 0.137 0.637 0.500 (multiplicity 4)
Sn 0.000 0.000 0.000 (multiplicity 2)

Computed properties:
For the calculated density, the calculation gives 6.1 g/cm³. The value obtained for the total energy is -3.947 eV per atom. The calculated formation energy comes out at -0.194 eV per atom.

# 11
First-principles (PBE-GGA) data for YCr2P after structural relaxation, as listed in the Alexandria database.

abc: 3.901 4.106 8.978
angles: 90.00 90.00 90.00
Space group Imm2 (No. 44)
Unique sites:
Y 0.000 0.000 0.000 (multiplicity 2)
Cr 0.000 0.000 0.596 (multiplicity 2)
Cr 0.000 0.500 0.761 (multiplicity 2)
P 0.000 0.500 0.254 (multiplicity 2)

Computed properties:
For the calculated density, the calculation gives 5.2 g/cm³. The value obtained for the total energy is -7.756 eV per atom. The calculated formation energy comes out at 0.024 eV per atom.

# 12
First-principles (PBE-GGA) data for KSn2 after structural relaxation, as listed in the Alexandria database.

abc: 4.483 7.284 13.349
angles: 90.00 90.00 90.00
Space group Immm (No. 71)
Unique sites:
K 0.000 0.000 0.174 (multiplicity 4)
Sn 0.000 0.218 0.500 (multiplicity 4)
Sn 0.000 0.500 0.115 (multiplicity 4)

Computed properties:
For the calculated density, the calculation gives 4.2 g/cm³. The value obtained for the total energy is -3.229 eV per atom. The calculated formation energy comes out at -0.195 eV per atom.

# 13
First-principles (PBE-GGA) data for Sm4GeAs3 after structural relaxation, as listed in the Alexandria database.

abc: 5.967 5.967 5.967
angles: 90.00 90.00 90.00
Space group Pm-3m (No. 221)
Unique sites:
Sm 0.000 0.000 0.000 (multiplicity 1)
Sm 0.000 0.500 0.500 (multiplicity 3)
Ge 0.500 0.500 0.500 (multiplicity 1)
As 0.000 0.000 0.500 (multiplicity 3)

Computed properties:
For the calculated density, the calculation gives 7.0 g/cm³. The value obtained for the total energy is -5.983 eV per atom. The calculated formation energy comes out at -1.303 eV per atom.

# 14
First-principles (PBE-GGA) data for NaSr6Zn after structural relaxation, as listed in the Alexandria database.

abc: 8.091 8.101 8.624
angles: 90.15 117.83 119.94
Space group P-1 (No. 2)
Unique sites:
Na 0.000 0.000 0.000 (multiplicity 1)
Sr 0.182 0.462 0.259 (multiplicity 2)
Sr 0.201 0.281 0.740 (multiplicity 2)
Sr 0.460 0.921 0.740 (multiplicity 2)
Zn 0.000 0.500 0.500 (multiplicity 1)

Computed properties:
Its polymorph energy (0 for the lowest one) is 85 meV/atom. For the calculated density, the calculation gives 2.5 g/cm³. The value obtained for the total energy is -1.503 eV per atom. The calculated formation energy comes out at 0.082 eV per atom.